No. 1
{
  "formula": "Dy2Zn2Sn",
  "functional": "PBE",
  "state": "relaxed",
  "lattice": [[-2.6763, -3.2656, -5.7490], [1.4142, -6.3413, 2.9437], [-8.0957, -0.0443, 3.7939]],
  "species": ["Dy", "Dy", "Dy", "Dy", "Dy", "Dy", "Dy", "Dy", "Zn", "Zn", "Zn", "Zn", "Zn", "Zn", "Zn", "Zn", "Sn", "Sn", "Sn", "Sn"],
  "fractional_positions": [[0.6718, 0.8282, 0.5000], [0.3282, 0.1718, 0.5000], [0.8282, 0.3282, 0.0000], [0.1718, 0.6718, 0.0000], [0.8282, 0.3282, 0.5000], [0.1718, 0.6718, 0.5000], [0.3282, 0.1718, 0.0000], [0.6718, 0.8282, 0.0000], [0.3768, 0.8768, 0.2500], [0.6232, 0.1232, 0.2500], [0.1232, 0.3768, 0.7500], [0.8768, 0.6232, 0.7500], [0.8768, 0.6232, 0.2500], [0.1232, 0.3768, 0.2500], [0.3768, 0.8768, 0.7500], [0.6232, 0.1232, 0.7500], [0.5000, 0.5000, 0.2500], [0.0000, 0.0000, 0.7500], [0.5000, 0.5000, 0.7500], [0.0000, 0.0000, 0.2500]],
  "energy_ev_per_atom": -3.65,
  "delta_e_f_mev_per_atom": -503
}

No. 2
{
  "formula": "BaCoOs2",
  "functional": "PBE",
  "state": "relaxed",
  "lattice": [[4.2732, -0.0020, 0.0104], [2.1383, 3.6997, 0.0104], [2.1223, 1.2240, 5.8991]],
  "species": ["Ba", "Co", "Os", "Os"],
  "fractional_positions": [[0.7500, 0.7500, 0.7500], [0.2500, 0.2500, 0.2500], [0.9351, 0.9351, 0.1945], [0.5649, 0.5649, 0.3055]],
  "polymorph_energy_mev_per_atom": 31,
  "energy_ev_per_atom": -7.53,
  "delta_e_f_mev_per_atom": 342
}

No. 3
{
  "formula": "Sm6Cd2Rh",
  "functional": "PBE",
  "state": "relaxed",
  "lattice": [[-1.5609, -6.9036, -0.6082], [5.0396, -1.5893, 5.1062], [-7.4008, 0.9684, 7.6056]],
  "species": ["Sm", "Sm", "Sm", "Sm", "Sm", "Sm", "Sm", "Sm", "Sm", "Sm", "Sm", "Sm", "Cd", "Cd", "Cd", "Cd", "Rh", "Rh"],
  "fractional_positions": [[0.9015, 0.0058, 0.2483], [0.8021, 0.6855, 0.5422], [0.8196, 0.6999, 0.9615], [0.6804, 0.1999, 0.5385], [0.6979, 0.1855, 0.9578], [0.5985, 0.5058, 0.2517], [0.0985, 0.9942, 0.7517], [0.1979, 0.3145, 0.4578], [0.1804, 0.3001, 0.0385], [0.3196, 0.8001, 0.4615], [0.3021, 0.8145, 0.0422], [0.4015, 0.4942, 0.7483], [0.9589, 0.4157, 0.7510], [0.5411, 0.9157, 0.7490], [0.4589, 0.0843, 0.2510], [0.0411, 0.5843, 0.2490], [0.5000, 0.5000, 0.0000], [0.0000, 0.0000, 0.5000]],
  "energy_ev_per_atom": -4.39,
  "delta_e_f_mev_per_atom": -228
}

No. 4
{
  "formula": "GaTc3Ir",
  "functional": "PBE",
  "state": "relaxed",
  "lattice": [[4.7304, 0.0000, 0.0000], [0.0000, 4.7304, 0.0000], [0.0000, 0.0000, 4.7304]],
  "species": ["Ir", "Tc", "Tc", "Tc", "Ga"],
  "fractional_positions": [[0.0000, 0.0000, 0.0000], [0.0000, 0.5000, 0.0000], [0.0000, 0.0000, 0.5000], [0.5000, 0.0000, 0.0000], [0.5000, 0.5000, 0.5000]],
  "polymorph_energy_mev_per_atom": 46,
  "energy_ev_per_atom": -6.94,
  "delta_e_f_mev_per_atom": 1661
}

No. 5
{
  "formula": "CaEuCuSb",
  "functional": "PBE",
  "state": "relaxed",
  "lattice": [[5.3336, 0.0000, 0.0000], [2.6668, 4.6191, 0.0000], [2.6668, 1.5397, 4.3549]],
  "species": ["Eu", "Sb", "Ca", "Cu"],
  "fractional_positions": [[0.0000, 0.0000, 0.0000], [0.7500, 0.7500, 0.7500], [0.5000, 0.5000, 0.5000], [0.2500, 0.2500, 0.2500]],
  "formation_energy_uncorrected_ev_per_atom": -0.5720,
  "energy_ev_per_atom": -5.70
}

No. 6
{
  "formula": "TaNiPd2Pt2",
  "functional": "PBE",
  "state": "relaxed",
  "lattice": [[5.4151, 0.0000, 0.0000], [0.0000, 5.2205, 0.4427], [0.0000, -1.5307, 6.4644]],
  "species": ["Ta", "Ta", "Ni", "Ni", "Pd", "Pd", "Pd", "Pd", "Pt", "Pt", "Pt", "Pt"],
  "fractional_positions": [[0.7500, 0.3090, 0.8357], [0.2500, 0.6910, 0.1643], [0.2500, 0.3282, 0.8648], [0.7500, 0.6718, 0.1352], [0.5011, 0.1956, 0.1672], [0.9989, 0.1956, 0.1672], [0.0011, 0.8044, 0.8328], [0.4989, 0.8044, 0.8328], [0.2500, 0.9965, 0.5114], [0.2500, 0.4917, 0.5056], [0.7500, 0.0035, 0.4886], [0.7500, 0.5083, 0.4944]],
  "energy_ev_per_atom": -6.91,
  "delta_e_f_mev_per_atom": -222
}